(a)
A relaxed structure of KAsSe2Cl, computed with GGA-PBE.

For the density, the calculation gives 3.5 g/cm3. The value obtained for the density of states at the Fermi level is 3.8 states/eV/f.u. As for the space-group type: P4/mmm (123).

Cell: 5.4109 5.4109 4.9676 Å, 90.00 90.00 90.00°
Each line ends with the local moment (μB).
Positions (direct):
Se1 0.5000 0.0000 0.0000  0.18
Se2 0.0000 0.5000 0.0000  0.18
As1 0.0000 0.0000 0.5000  0.59
K1 0.5000 0.5000 0.5000  0.01
Cl1 0.0000 0.0000 0.0000  0.08

---

(b)
A relaxed structure of KAsSe2Cl, computed with GGA-PBE.

For the density, the calculation gives 2.0 g/cm3. The value obtained for the density of states at the Fermi level is 5.2 states/eV/f.u. As for the space-group type: P4/mmm (123).

Cell: 6.2710 6.2710 6.4722 Å, 90.00 90.00 90.00°
Each line ends with the local moment (μB).
Positions (direct):
K1 0.0000 0.0000 0.0000  -0.03
Se1 0.0000 0.5000 0.0000  0.96
Se2 0.5000 0.0000 0.0000  0.96
As1 0.0000 0.0000 0.5000  -1.18
Cl1 0.5000 0.5000 0.5000  0.29

---

Energy relative to the most stable one, in meV/atom: (a) 0; (b) 669